[1]
A plane-wave DFT calculation with GGA-PBE was carried out for crystalline La4OsSeS2 at its relaxed geometry.

```
La4OsSeS2
1.0
7.324 0.000 0.000
0.000 4.192 0.000
-2.288 0.000 7.075
La Os Se S
4 1 1 2
Direct
0.242 0.000 0.272 La
0.245 0.500 0.737 La
0.755 0.500 0.263 La
0.758 0.000 0.728 La
0.000 0.000 0.500 Os
0.000 0.500 0.000 Se
0.500 0.000 0.000 S
0.500 0.500 0.500 S
```

* E_tot: -54.97 eV/f.u.
* DOS(E_F): 5.4 states/eV/f.u.

***

[2]
A plane-wave DFT calculation with GGA-PBE was carried out for crystalline Sr2LaOsS at its relaxed geometry.

```
Sr2LaOsS
1.0
6.291 0.000 0.000
0.000 6.291 0.000
0.000 0.000 4.685
Sr La Os S
2 1 1 1
Direct
0.000 0.500 0.000 Sr
0.500 0.000 0.000 Sr
0.000 0.000 0.000 La
0.000 0.000 0.500 Os
0.500 0.500 0.500 S
```

* E_tot: -19.65 eV/f.u.
* DOS(E_F): 4.4 states/eV/f.u.

***

[3]
A plane-wave DFT calculation with GGA-PBE was carried out for crystalline La2SbOs at its relaxed geometry.

```
La2SbOs
1.0
4.478 0.000 0.000
0.000 5.475 0.000
0.000 0.000 8.688
La Sb Os
4 2 2
Direct
0.000 0.000 0.213 La
0.000 0.000 0.787 La
0.500 0.500 0.287 La
0.500 0.500 0.713 La
0.000 0.500 0.000 Sb
0.500 0.000 0.500 Sb
0.000 0.500 0.500 Os
0.500 0.000 0.000 Os
```

* E_tot: -26.38 eV/f.u.
* DOS(E_F): 2.3 states/eV/f.u.

***

[4]
A plane-wave DFT calculation with GGA-PBE was carried out for crystalline La2SbOs at its relaxed geometry.

```
La2SbOs
1.0
4.476 0.000 0.000
0.000 4.476 0.000
0.000 0.000 10.187
La Sb Os
4 2 2
Direct
0.000 0.000 0.000 La
0.000 0.500 0.250 La
0.500 0.000 0.750 La
0.500 0.500 0.500 La
0.000 0.000 0.500 Sb
0.500 0.500 0.000 Sb
0.000 0.500 0.750 Os
0.500 0.000 0.250 Os
```

* E_tot: -25.86 eV/f.u.
* DOS(E_F): 6.2 states/eV/f.u.

***

- Which of these has the highest DOS(E_F)?
  number 4

***

- The lowest DOS(E_F) belongs to which entry?
  number 3

***

- Which of these has the lowest DOS(E_F)?
  number 3

***

- Among the records above, which one has the lowest E_tot?
  La4OsSeS2